Entry 1:
Material: FeGe6Ir
Method: DFT, PBE
State: relaxed

## Properties
Energy ... -44.82 eV/cell
Crystal system ... triclinic

abc: 4.080 6.355 6.357
angles: 69.34 71.39 71.47
Space group P-1 (No. 2)
Asymmetric unit:
Fe1 0.000 0.000 0.000 (multiplicity 1)
Ge1 0.098 0.220 0.585 (multiplicity 2)
Ge2 0.236 0.746 0.767 (multiplicity 2)
Ge3 0.418 0.243 0.927 (multiplicity 2)
Ir1 0.500 0.500 0.500 (multiplicity 1)

Entry 2:
Material: Zr6In2Mo
Method: DFT, PBE
State: relaxed

## Properties
Energy ... -130.62 eV/cell
Crystal system ... orthorhombic

abc: 4.916 6.585 14.115
angles: 90.00 90.00 90.00
Space group Immm (No. 71)
Asymmetric unit:
Zr1 0.000 0.240 0.000 (multiplicity 4)
Zr2 0.000 0.250 0.351 (multiplicity 8)
In1 0.000 0.500 0.177 (multiplicity 4)
Mo1 0.000 0.500 0.500 (multiplicity 2)

Entry 3:
Material: Rb2BBr6
Method: DFT, PBE
State: relaxed

## Properties
Uncorrected formation energy ... -0.6548 eV per atom
Crystal system ... tetragonal

abc: 7.049 7.049 11.636
angles: 90.00 90.00 90.00
Space group I4/mmm (No. 139)
Asymmetric unit:
Rb1 0.000 0.500 0.250 (multiplicity 4)
B1 0.000 0.000 0.000 (multiplicity 2)
Br1 0.000 0.000 0.216 (multiplicity 4)
Br2 0.225 0.225 0.000 (multiplicity 8)

Entry 4:
Material: SrAc7Co3
Method: DFT, PBE
State: relaxed

## Properties
Energy ... -51.47 eV/cell
Crystal system ... trigonal

abc: 8.3514 8.3514 6.8257
angles: 90.00 90.00 120.00
Space group P3m1 (No. 156)
Asymmetric unit:
Sr1 0.0000 0.0000 0.0000 (multiplicity 1)
Ac1 0.1639 0.3278 0.5213 (multiplicity 3)
Ac2 0.5037 0.0073 0.9840 (multiplicity 3)
Ac3 0.6667 0.3333 0.5189 (multiplicity 1)
Co1 0.3391 0.1696 0.7463 (multiplicity 3)

Entry 5:
Material: MgP4N7
Method: DFT, PBE
State: relaxed

## Properties
Uncorrected formation energy ... -0.2910 eV per atom
Crystal system ... orthorhombic

abc: 12.160 4.949 4.685
angles: 90.00 90.00 90.00
Space group Pmn2_1 (No. 31)
Asymmetric unit:
Mg1 0.000 0.162 0.000 (multiplicity 2)
P1 0.119 0.666 0.332 (multiplicity 4)
P2 0.250 0.179 0.302 (multiplicity 4)
N1 0.000 0.766 0.219 (multiplicity 2)
N2 0.138 0.731 0.662 (multiplicity 4)
N3 0.139 0.352 0.242 (multiplicity 4)
N4 0.216 0.869 0.157 (multiplicity 4)

Entry 6:
Material: SrTl2Sn
Method: DFT, PBE
State: relaxed

## Properties
Distance to the lowest polymorph of the same formula ... 1.85 kcal/mol of atoms
Crystal system ... tetragonal

abc: 4.078 4.078 7.482
angles: 90.00 90.00 90.00
Space group P4/mmm (No. 123)
Asymmetric unit:
Sr1 0.000 0.000 0.000 (multiplicity 1)
Tl1 0.500 0.500 0.280 (multiplicity 2)
Sn1 0.000 0.000 0.500 (multiplicity 1)

Entry 7:
Material: Mg3ScAs
Method: DFT, PBE
State: relaxed

## Properties
Distance to the lowest polymorph of the same formula ... 21.65 kcal/mol of atoms
Crystal system ... cubic

abc: 5.495 5.495 5.495
angles: 90.00 90.00 90.00
Space group Pm-3m (No. 221)
Asymmetric unit:
Mg1 0.000 0.000 0.500 (multiplicity 3)
Sc1 0.000 0.000 0.000 (multiplicity 1)
As1 0.500 0.500 0.500 (multiplicity 1)

Entry 8:
Material: Tl2TcAsO6
Method: DFT, PBE
State: relaxed

## Properties
Uncorrected formation energy ... -0.9011 eV per atom
Crystal system ... orthorhombic

abc: 5.796 5.798 8.191
angles: 90.00 90.00 90.00
Space group Immm (No. 71)
Asymmetric unit:
Tl1 0.000 0.000 0.250 (multiplicity 4)
Tc1 0.000 0.500 0.000 (multiplicity 2)
As1 0.000 0.500 0.500 (multiplicity 2)
O1 0.000 0.500 0.235 (multiplicity 4)
O2 0.235 0.265 0.000 (multiplicity 8)